Version A
LuNiBi2: relaxed, PBE-GGA.

Cell: 5.188 5.188 5.188 Å, 60.00 60.00 60.00°
Sites, in units of the cell vectors:
Lu 0.250 0.250 0.250
Bi 0.500 0.500 0.500
Bi 0.750 0.750 0.750
Ni 0.000 0.000 0.000

***

Version B
LuNiBi2: relaxed, PBE-GGA.

Cell: 4.431 4.431 4.431 Å, 60.00 60.00 60.00°
Sites, in units of the cell vectors:
Bi 0.250 0.250 0.250
Bi 0.000 0.000 0.000
Ni 0.750 0.750 0.750
Lu 0.500 0.500 0.500

***

Least stable structure: version B